DFT (GGA-PBE) results for an optimized crystal structure of FeI2N.

```
FeI2N
1.0
0.0000 3.2936 3.2936
3.2936 0.0000 3.2936
3.2936 3.2936 0.0000
Fe I N
1 2 1
Cartesian
0.0000 0.0000 0.0000
1.6468 1.6468 1.6468
4.9403 4.9403 4.9403
3.2936 3.2936 3.2936
```

Results
SG	No. 225
D(E_F)	4.19	states/eV/cell
size of the total moment	0.446	μB per atom
offset from the most stable computed form	42.1	kJ/mol of atoms

DFT (GGA-PBE) results for an optimized crystal structure of Fe2IN.

```
Fe2IN
1.0
0.0000 2.9587 2.9587
2.9587 0.0000 2.9587
2.9587 2.9587 0.0000
Fe I N
2 1 1
Cartesian
1.4794 1.4794 1.4794
4.4381 4.4381 4.4381
0.0000 0.0000 0.0000
2.9587 2.9587 2.9587
```

Results
SG	No. 225
D(E_F)	4.52	states/eV/cell
size of the total moment	0.839	μB per atom
offset from the most stable computed form	97.1	kJ/mol of atoms

DFT (GGA-PBE) results for an optimized crystal structure of Fe2I2N.

```
Fe2I2N
1.0
-1.7506 1.7506 7.0199
1.7506 -1.7506 7.0199
1.7506 1.7506 -7.0199
Fe I N
2 2 1
Cartesian
1.7506 0.0000 3.5100
0.0000 1.7506 3.5100
0.0000 0.0000 1.6727
0.0000 0.0000 12.3672
0.0000 0.0000 7.0199
```

Results
SG	No. 139
D(E_F)	8.73	states/eV/cell
size of the total moment	0.000	μB per atom
offset from the most stable computed form	0.0	kJ/mol of atoms

Result set for energy relative to the elements, uncorrected: 1.802; 1.369; 1.445 eV per atom, one per record in the order listed.